Compound: MnTlCrTcF
Source: Alexandria via LeMat-Bulk
Functional: PBE with a Hubbard U
Structure: relaxed

Summary:
As for the energy above the most stable polymorph in this dataset: 137 meV per atom. The density comes out at 7.70 Mg/m³. Its total moment is 1.4397 μB/atom. The value obtained for the volume is 92.4 Å³ per cell.

Geometry as CIF:
```
data_MnTlCrTcF
_space_group_name_H-M_alt 'P 1'
_space_group_IT_number 1
_space_group_name_Hall 'P 1'
_cell_length_a 3.0447
_cell_length_b 5.3327
_cell_length_c 6.1878
_cell_angle_alpha 94.48
_cell_angle_beta 104.08
_cell_angle_gamma 106.27
loop_
_atom_site_label
_atom_site_type_symbol
_atom_site_fract_x
_atom_site_fract_y
_atom_site_fract_z
Mn1 Mn 0.0000 0.0000 0.0000
Tl1 Tl 0.5800 0.4452 0.7302
Cr1 Cr 0.3867 0.5655 0.2150
Tc1 Tc 0.7471 0.1487 0.3511
F1 F 0.7873 0.9325 0.6507
```